Arrangement i

Here is crystalline HgSb2Se2 at its relaxed geometry from Alexandria via LeMat-Bulk. Energies are from PBE-GGA.

abc: 4.529 4.529 7.639
angles: 72.76 72.76 90.00
Positions (direct):
1 Se 0.410 0.410 0.179
2 Se 0.590 0.590 0.821
3 Sb 0.750 0.250 0.500
4 Sb 0.250 0.750 0.500
5 Hg 0.000 0.000 0.000

Calculated values
The magnetization comes out at 0.0 μB per cell. Its space-group type is I4/mmm.

Arrangement ii

Here is crystalline HgSb2Se2 at its relaxed geometry from Alexandria via LeMat-Bulk. Energies are from PBE-GGA.

abc: 5.608 5.608 6.146
angles: 62.85 62.85 90.00
Positions (direct):
1 Sb 0.672 0.672 0.657
2 Sb 0.328 0.328 0.343
3 Hg 0.000 0.000 0.000
4 Se 0.250 0.750 0.500
5 Se 0.750 0.250 0.500

Calculated values
The magnetization comes out at 0.0 μB per cell. Its space-group type is I4/mmm.

Best to worst by energy: arrangement ii, arrangement i.

Arrangement i

Here is crystalline Si2HgSb at its relaxed geometry from Alexandria via LeMat-Bulk. Energies are from PBE-GGA.

abc: 3.751 5.040 5.039
angles: 65.71 90.00 90.00
Positions (direct):
1 Sb 0.500 0.780 0.781
2 Hg 0.000 0.481 0.480
3 Si 0.000 0.027 0.027
4 Si 0.500 0.212 0.213

Calculated values
The magnetization comes out at 0.0 μB per cell. Its space-group type is Amm2.

Arrangement ii

Here is crystalline Si2HgSb at its relaxed geometry from Alexandria via LeMat-Bulk. Energies are from PBE-GGA.

abc: 5.394 5.394 2.941
angles: 90.00 90.00 89.99
Positions (direct):
1 Sb 0.000 0.500 0.500
2 Hg 0.500 0.000 0.500
3 Si 0.500 0.500 0.000
4 Si 0.000 0.000 0.000

Calculated values
The magnetization comes out at 0.0 μB per cell. Its space-group type is P4/mmm.

Arrangement iii

Here is crystalline Si2HgSb at its relaxed geometry from Alexandria via LeMat-Bulk. Energies are from PBE-GGA.

abc: 3.958 3.958 6.861
angles: 73.67 73.67 59.97
Positions (direct):
1 Si 0.001 0.001 0.000
2 Si 0.499 0.499 0.500
3 Hg 0.250 0.250 0.250
4 Sb 0.750 0.750 0.750

Calculated values
The magnetization comes out at 0.0 μB per cell. Its space-group type is C2/m.

Arrangement iv

Here is crystalline Si2HgSb at its relaxed geometry from Alexandria via LeMat-Bulk. Energies are from PBE-GGA.

abc: 3.585 3.585 7.172
angles: 90.00 90.00 90.00
Positions (direct):
1 Sb 0.500 0.500 0.750
2 Si 0.000 0.000 0.555
3 Si 0.000 0.000 0.945
4 Hg 0.500 0.500 0.250

Calculated values
The magnetization comes out at 0.0 μB per cell. Its space-group type is P4/mmm.

Best to worst by energy: arrangement i, arrangement iii, arrangement iv, arrangement ii.